SrAg2MoF8 | GGA+U | optimized geometry

Cell lengths 4.408, 5.800, 7.654 Å; angles 90.76, 90.11, 94.27 degrees
Sites, in units of the cell vectors:
Sr  0.000  0.000  0.000
Ag  0.494  0.488  0.757
Ag  0.506  0.512  0.243
Mo  0.000  0.000  0.500
F  0.106  0.797  0.288
F  0.118  0.804  0.698
F  0.374  0.211  0.507
F  0.480  0.239  0.011
F  0.520  0.761  0.989
F  0.626  0.789  0.493
F  0.882  0.196  0.302
F  0.894  0.203  0.712

electronic total energy: -4.80 eV/atom
space group: P-1 (2)